No. 1
## CuRhN2 (GGA-PBE)

Data for an optimized crystal structure of CuRhN2.

Output
The total magnetization is 0.000 μB/atom. The value obtained for the formation energy from raw total energies is 0.63 eV per atom. The value obtained for the energy above the most stable polymorph in this dataset is 0.0 meV per atom. Its calculated volume is 11.8 A^3/atom. The value obtained for the total energy is -6.394 eV/atom.

a = 4.5010 Å, b = 4.5010 Å, c = 9.2819 Å
α = 90.00°, β = 90.00°, γ = 90.00°
Space group I-42d (No. 122)
Inequivalent atoms, fractional coordinates:
Cu (0.0000, 0.0000, 0.0000) (multiplicity 4)
Rh (0.0000, 0.0000, 0.5000) (multiplicity 4)
N (0.2429, 0.2500, 0.6250) (multiplicity 8)

No. 2
## Hf2Si4Tc3 (GGA-PBE)

Data for an optimized crystal structure of Hf2Si4Tc3.

Output
The total magnetization is 0.000 μB/atom. The value obtained for the formation energy from raw total energies is -0.72 eV per atom. Its calculated volume is 15.1 A^3/atom. The value obtained for the total energy is -8.797 eV/atom.

a = 6.6564 Å, b = 6.5749 Å, c = 6.6147 Å
α = 90.00°, β = 110.34°, γ = 90.00°
Space group P2_1/c (No. 14)
Inequivalent atoms, fractional coordinates:
Hf (0.1904, 0.1665, 0.0619) (multiplicity 4)
Si (0.0960, 0.5511, 0.8687) (multiplicity 4)
Si (0.4920, 0.6384, 0.6339) (multiplicity 4)
Tc (0.2333, 0.6453, 0.2564) (multiplicity 4)
Tc (0.5000, 0.0000, 0.5000) (multiplicity 2)

No. 3
## BiPb3Cl (GGA-PBE)

Data for an optimized crystal structure of BiPb3Cl.

Output
The total magnetization is 0.000 μB/atom. The value obtained for the formation energy from raw total energies is 0.19 eV per atom. The value obtained for the energy above the most stable polymorph in this dataset is 374.5 meV per atom. Its calculated volume is 35.2 A^3/atom. The value obtained for the total energy is -3.185 eV/atom.

a = 5.6059 Å, b = 5.6059 Å, c = 5.6059 Å
α = 90.00°, β = 90.00°, γ = 90.00°
Space group Pm-3m (No. 221)
Inequivalent atoms, fractional coordinates:
Bi (0.0000, 0.0000, 0.0000) (multiplicity 1)
Pb (0.0000, 0.5000, 0.5000) (multiplicity 3)
Cl (0.5000, 0.5000, 0.5000) (multiplicity 1)

No. 4
## KHgMoCl (GGA-PBE)

Data for an optimized crystal structure of KHgMoCl.

Output
The total magnetization is 0.246 μB/atom. The value obtained for the formation energy from raw total energies is 0.00 eV per atom. The value obtained for the energy above the most stable polymorph in this dataset is 0.0 meV per atom. Its calculated volume is 24.5 A^3/atom. The value obtained for the total energy is -3.522 eV/atom.

a = 3.1136 Å, b = 4.4401 Å, c = 14.1919 Å
α = 90.00°, β = 90.00°, γ = 90.00°
Space group Amm2 (No. 38)
Inequivalent atoms, fractional coordinates:
K (0.0000, 0.0000, 0.0000) (multiplicity 2)
Hg (0.5000, 0.0000, 0.6837) (multiplicity 2)
Mo (0.0000, 0.0000, 0.2475) (multiplicity 2)
Cl (0.5000, 0.0000, 0.3881) (multiplicity 2)